VASP calculation (PBE-GGA) on a relaxed structure of LaTbPr6Tm2.

Summary:
V ... 1400 Å³ per cell
Electronic total energy ... -4.608 eV/atom
Fermi-level density of states ... 59.8 states/eV per cell
Magnetization ... 0.0 Bohr magnetons per cell

abc: 9.369 15.352 9.838
angles: 90.00 98.31 90.00
Space group C2/c (No. 15)
Symmetry-distinct sites (fractional):
La1 0.000 0.094 0.250
Tb1 0.000 0.469 0.750
Pr1 0.066 0.327 0.445
Pr2 0.097 0.107 0.621
Pr3 0.209 0.275 0.817
Tm1 0.242 0.453 0.048


VASP calculation (PBE-GGA) on a relaxed structure of La5TbPrTm2.

Summary:
V ... 1282 Å³ per cell
Electronic total energy ... -4.649 eV/atom
Fermi-level density of states ... 53.3 states/eV per cell
Magnetization ... 0.0 Bohr magnetons per cell

abc: 5.508 21.695 10.723
angles: 90.00 90.00 90.00
Space group Cmc2_1 (No. 36)
Symmetry-distinct sites (fractional):
La1 0.000 0.000 0.000
La2 0.000 0.122 0.250
La3 0.000 0.220 0.559
La4 0.000 0.221 0.940
La5 0.000 0.500 0.250
Tb1 0.000 0.100 0.750
Pr1 0.000 0.284 0.249
Tm1 0.000 0.387 0.496
Tm2 0.000 0.388 0.003


VASP calculation (PBE-GGA) on a relaxed structure of La2Tb6PrTm.

Summary:
V ... 1339 Å³ per cell
Electronic total energy ... -4.573 eV/atom
Fermi-level density of states ... 57.2 states/eV per cell
Magnetization ... 0.0 Bohr magnetons per cell

abc: 9.104 15.069 9.906
angles: 90.00 99.78 90.00
Space group C2/c (No. 15)
Symmetry-distinct sites (fractional):
La1 0.243 0.048 0.043
Tb1 0.073 0.193 0.443
Tb2 0.095 0.394 0.618
Tb3 0.203 0.222 0.811
Pr1 0.000 0.013 0.750
Tm1 0.000 0.405 0.250


VASP calculation (PBE-GGA) on a relaxed structure of La2Tb5PrTm.

Summary:
V ... 1209 Å³ per cell
Electronic total energy ... -4.439 eV/atom
Fermi-level density of states ... 50.9 states/eV per cell
Magnetization ... 0.0 Bohr magnetons per cell

abc: 8.722 8.722 15.893
angles: 90.00 90.00 90.00
Space group I4/mcm (No. 140)
Symmetry-distinct sites (fractional):
La1 0.118 0.382 0.000
Tb1 0.000 0.000 0.000
Tb2 0.216 0.284 0.359
Pr1 0.000 0.000 0.250
Tm1 0.000 0.500 0.250


VASP calculation (PBE-GGA) on a relaxed structure of La4TbPr2Tm.

Summary:
V ... 282 Å³ per cell
Electronic total energy ... -4.782 eV/atom
Fermi-level density of states ... 12.2 states/eV per cell
Magnetization ... 0.0 Bohr magnetons per cell

abc: 5.217 5.253 10.279
angles: 90.00 90.07 90.00
Space group P2/m (No. 10)
Symmetry-distinct sites (fractional):
La1 0.000 0.000 0.250
La2 0.499 0.500 0.249
Tb1 0.500 0.000 0.500
Pr1 0.000 0.500 0.500
Pr2 0.500 0.000 0.000
Tm1 0.000 0.500 0.000


VASP calculation (PBE-GGA) on a relaxed structure of La2Tb6PrTm3.

Summary:
V ... 784 Å³ per cell
Electronic total energy ... -4.628 eV/atom
Fermi-level density of states ... 33.8 states/eV per cell
Magnetization ... 0.0 Bohr magnetons per cell

abc: 6.218 10.771 11.887
angles: 90.00 100.05 90.00
Space group C2/m (No. 12)
Symmetry-distinct sites (fractional):
La1 0.000 0.167 0.000
Tb1 0.246 0.500 0.743
Tb2 0.247 0.167 0.743
Pr1 0.000 0.500 0.000
Tm1 0.000 0.000 0.500
Tm2 0.000 0.333 0.500


VASP calculation (PBE-GGA) on a relaxed structure of LaTb5PrTm2.

Summary:
V ... 1196 Å³ per cell
Electronic total energy ... -4.482 eV/atom
Fermi-level density of states ... 55.8 states/eV per cell
Magnetization ... 0.0 Bohr magnetons per cell

abc: 5.633 19.867 10.689
angles: 90.00 90.00 90.00
Space group Cmc2_1 (No. 36)
Symmetry-distinct sites (fractional):
La1 0.000 0.081 0.000
Tb1 0.000 0.022 0.288
Tb2 0.000 0.110 0.577
Tb3 0.000 0.203 0.260
Tb4 0.000 0.218 0.862
Tb5 0.000 0.483 0.580
Pr1 0.000 0.297 0.564
Tm1 0.000 0.386 0.873
Tm2 0.000 0.390 0.287


VASP calculation (PBE-GGA) on a relaxed structure of La5Tb2PrTm.

Summary:
V ... 1297 Å³ per cell
Electronic total energy ... -4.514 eV/atom
Fermi-level density of states ... 59.7 states/eV per cell
Magnetization ... 0.0 Bohr magnetons per cell

abc: 9.578 9.578 14.137
angles: 90.00 90.00 90.00
Space group I4/mcm (No. 140)
Symmetry-distinct sites (fractional):
La1 0.000 0.000 0.000
La2 0.202 0.298 0.135
Tb1 0.108 0.392 0.500
Pr1 0.000 0.000 0.250
Tm1 0.000 0.500 0.250


VASP calculation (PBE-GGA) on a relaxed structure of LaTbPr3Tm.

Summary:
V ... 417 Å³ per cell
Electronic total energy ... -4.701 eV/atom
Fermi-level density of states ... 19.9 states/eV per cell
Magnetization ... 0.0 Bohr magnetons per cell

abc: 8.142 5.203 10.378
angles: 90.00 108.61 90.00
Space group P2_1/m (No. 11)
Symmetry-distinct sites (fractional):
La1 0.172 0.250 0.292
Tb1 0.500 0.250 0.627
Pr1 0.171 0.250 0.793
Pr2 0.171 0.750 0.544
Pr3 0.173 0.750 0.042
Tm1 0.498 0.750 0.876


VASP calculation (PBE-GGA) on a relaxed structure of LaTbPr2Tm5.

Summary:
V ... 1167 Å³ per cell
Electronic total energy ... -4.358 eV/atom
Fermi-level density of states ... 37.7 states/eV per cell
Magnetization ... 0.0 Bohr magnetons per cell

abc: 8.629 8.629 15.676
angles: 90.00 90.00 90.00
Space group I4/mcm (No. 140)
Symmetry-distinct sites (fractional):
La1 0.000 0.500 0.250
Tb1 0.000 0.000 0.250
Pr1 0.119 0.381 0.000
Tm1 0.000 0.000 0.000
Tm2 0.210 0.290 0.361


VASP calculation (PBE-GGA) on a relaxed structure of LaTbPr4Tm2.

Summary:
V ... 548 Å³ per cell
Electronic total energy ... -4.681 eV/atom
Fermi-level density of states ... 24.1 states/eV per cell
Magnetization ... 0.0 Bohr magnetons per cell

abc: 11.477 5.174 10.347
angles: 90.00 116.92 90.00
Space group C2/m (No. 12)
Symmetry-distinct sites (fractional):
La1 0.000 0.000 0.000
Tb1 0.000 0.000 0.500
Pr1 0.248 0.000 0.873
Pr2 0.249 0.500 0.624
Tm1 0.000 0.500 0.253


VASP calculation (PBE-GGA) on a relaxed structure of La2Tb3PrTm6.

Summary:
V ... 768 Å³ per cell
Electronic total energy ... -4.589 eV/atom
Fermi-level density of states ... 29.2 states/eV per cell
Magnetization ... 0.0 Bohr magnetons per cell

abc: 6.198 10.730 11.724
angles: 90.00 100.12 90.00
Space group C2/m (No. 12)
Symmetry-distinct sites (fractional):
La1 0.000 0.167 0.000
Tb1 0.000 0.000 0.500
Tb2 0.000 0.333 0.500
Pr1 0.000 0.500 0.000
Tm1 0.248 0.166 0.745
Tm2 0.248 0.500 0.745


VASP calculation (PBE-GGA) on a relaxed structure of La2Tb2PrTm2.

Summary:
V ... 469 Å³ per cell
Electronic total energy ... -4.660 eV/atom
Fermi-level density of states ... 22.7 states/eV per cell
Magnetization ... 0.0 Bohr magnetons per cell

abc: 11.427 5.108 8.117
angles: 90.00 98.17 90.00
Space group C2/m (No. 12)
Symmetry-distinct sites (fractional):
La1 0.143 0.000 0.429
Tb1 0.071 0.500 0.719
Pr1 0.000 0.000 0.000
Tm1 0.216 0.500 0.138


VASP calculation (PBE-GGA) on a relaxed structure of La4TbPrTm2.

Summary:
V ... 278 Å³ per cell
Electronic total energy ... -4.677 eV/atom
Fermi-level density of states ... 12.9 states/eV per cell
Magnetization ... 0.0 Bohr magnetons per cell

abc: 5.977 5.977 7.775
angles: 90.00 90.00 90.00
Space group P4/mmm (No. 123)
Symmetry-distinct sites (fractional):
La1 0.000 0.500 0.238
Tb1 0.000 0.000 0.500
Pr1 0.500 0.500 0.500
Tm1 0.000 0.000 0.000
Tm2 0.500 0.500 0.000


VASP calculation (PBE-GGA) on a relaxed structure of LaTb2Pr4Tm.

Summary:
V ... 275 Å³ per cell
Electronic total energy ... -4.705 eV/atom
Fermi-level density of states ... 11.4 states/eV per cell
Magnetization ... 0.0 Bohr magnetons per cell

abc: 6.308 3.674 12.065
angles: 90.00 100.18 90.00
Space group P2/m (No. 10)
Symmetry-distinct sites (fractional):
La1 0.000 0.000 0.000
Tb1 0.000 0.500 0.500
Tb2 0.500 0.000 0.500
Pr1 0.251 0.000 0.750
Pr2 0.252 0.500 0.254
Tm1 0.500 0.500 0.000


VASP calculation (PBE-GGA) on a relaxed structure of LaTb4Pr2Tm.

Summary:
V ... 267 Å³ per cell
Electronic total energy ... -4.662 eV/atom
Fermi-level density of states ... 11.7 states/eV per cell
Magnetization ... 0.0 Bohr magnetons per cell

abc: 5.113 5.134 10.188
angles: 90.00 90.00 90.00
Space group Pmmm (No. 47)
Symmetry-distinct sites (fractional):
La1 0.000 0.000 0.000
Tb1 0.000 0.500 0.254
Tb2 0.500 0.000 0.254
Pr1 0.000 0.000 0.500
Pr2 0.500 0.500 0.000
Tm1 0.500 0.500 0.500


VASP calculation (PBE-GGA) on a relaxed structure of La6Tb2PrTm.

Summary:
V ... 1406 Å³ per cell
Electronic total energy ... -4.698 eV/atom
Fermi-level density of states ... 46.8 states/eV per cell
Magnetization ... 0.0 Bohr magnetons per cell

abc: 9.963 15.136 9.345
angles: 90.00 93.48 90.00
Space group C2/c (No. 15)
Symmetry-distinct sites (fractional):
La1 0.074 0.158 0.418
La2 0.077 0.369 0.606
La3 0.237 0.218 0.818
Tb1 0.249 0.043 0.067
Pr1 0.000 0.060 0.750
Tm1 0.000 0.419 0.250


VASP calculation (PBE-GGA) on a relaxed structure of La2Tb2PrTm.

Summary:
V ... 408 Å³ per cell
Electronic total energy ... -4.660 eV/atom
Fermi-level density of states ... 18.2 states/eV per cell
Magnetization ... 0.0 Bohr magnetons per cell

abc: 5.745 10.012 7.097
angles: 90.00 90.00 90.00
Space group Pmc2_1 (No. 26)
Symmetry-distinct sites (fractional):
La1 0.000 0.000 0.000
La2 0.500 0.169 0.250
Tb1 0.000 0.334 0.250
Tb2 0.500 0.167 0.750
Pr1 0.500 0.500 0.000
Tm1 0.000 0.337 0.750


VASP calculation (PBE-GGA) on a relaxed structure of LaTbPr2Tm2.

Summary:
V ... 403 Å³ per cell
Electronic total energy ... -4.610 eV/atom
Fermi-level density of states ... 19.0 states/eV per cell
Magnetization ... 0.0 Bohr magnetons per cell

abc: 7.085 9.948 5.713
angles: 90.00 90.00 90.00
Space group Pnnm (No. 58)
Symmetry-distinct sites (fractional):
La1 0.000 0.000 0.000
Tb1 0.000 0.500 0.500
Pr1 0.247 0.333 0.000
Tm1 0.250 0.166 0.500